(1)
## GaCuSbTe2 (PBE-GGA)

Data for GaCuSbTe2 after structural relaxation.

Cell lengths 5.4422, 5.4422, 5.1703 Å; angles 90.00, 90.00, 90.00 degrees
Element x y z (fractional)
Sb  0.0000  0.0000  0.5000
Ga  0.0000  0.0000  0.0000
Cu  0.5000  0.5000  0.5000
Te  0.5000  0.0000  0.0000
Te  0.0000  0.5000  0.0000

Properties
**Formation energy (no corrections)**: 75.93 kJ per mole of atoms
**Relative energy among the computed polymorphs**: 457.9 meV per atom
**D(E_F)**: 5.00 states/eV per cell
**SG**: No. 123
**Energy**: -2.72 eV/atom

(2)
## PrErAgPd (PBE-GGA)

Data for PrErAgPd after structural relaxation.

Cell lengths 5.1362, 5.1362, 5.1362 Å; angles 60.00, 60.00, 60.00 degrees
Element x y z (fractional)
Ag  0.5000  0.5000  0.5000
Pd  0.0000  0.0000  0.0000
Er  0.7500  0.7500  0.7500
Pr  0.2500  0.2500  0.2500

Properties
**ΔE_f**: -2.1 eV/f.u.
**Relative energy among the computed polymorphs**: 9.4 meV per atom
**D(E_F)**: 2.50 states/eV per cell
**SG**: No. 216
**Energy**: -4.88 eV/atom

(3)
## ZrCo2Ir2 (PBE-GGA)

Data for ZrCo2Ir2 after structural relaxation.

Cell lengths 3.6089, 3.6089, 6.5325 Å; angles 73.96, 73.96, 90.00 degrees
Element x y z (fractional)
Ir  0.6067  0.6067  0.7866
Ir  0.3933  0.3933  0.2134
Zr  0.0000  0.0000  0.0000
Co  0.7500  0.2500  0.5000
Co  0.2500  0.7500  0.5000

Properties
**ΔE_f**: -0.6 eV/f.u.
**Relative energy among the computed polymorphs**: 106.3 meV per atom
**D(E_F)**: 6.41 states/eV per cell
**SG**: No. 139
**Energy**: -8.22 eV/atom

(4)
## PuUCoIr (PBE-GGA)

Data for PuUCoIr after structural relaxation.

Cell lengths 4.5497, 4.5497, 4.5497 Å; angles 60.00, 60.00, 60.00 degrees
Element x y z (fractional)
U  0.2500  0.2500  0.2500
Co  0.7500  0.7500  0.7500
Ir  0.5000  0.5000  0.5000
Pu  0.0000  0.0000  0.0000

Properties
**ΔE_f**: -1.5 eV/f.u.
**D(E_F)**: 5.15 states/eV per cell
**SG**: No. 216
**Energy**: -10.78 eV/atom

(5)
## NaLiMn2Br (PBE-GGA)

Data for NaLiMn2Br after structural relaxation.

Cell lengths 4.8769, 5.3861, 4.8769 Å; angles 90.00, 90.00, 90.00 degrees
Element x y z (fractional)
Mn  0.0000  0.0000  0.5000
Mn  0.5000  0.0000  0.0000
Li  0.5000  0.5000  0.5000
Na  0.0000  0.5000  0.0000
Br  0.0000  0.0000  0.0000

Properties
**Formation energy (no corrections)**: 65.36 kJ per mole of atoms
**D(E_F)**: 4.29 states/eV per cell
**SG**: No. 123
**Energy**: -3.97 eV/atom

(6)
## Sn3Au2 (PBE-GGA)

Data for Sn3Au2 after structural relaxation.

Cell lengths 7.3669, 7.3669, 6.9493 Å; angles 57.99, 57.99, 60.00 degrees
Element x y z (fractional)
Sn  0.4142  0.0858  0.7500
Sn  0.0858  0.7500  0.7500
Sn  0.2500  0.5858  0.2500
Sn  0.5858  0.9142  0.2500
Sn  0.7500  0.4142  0.7500
Sn  0.9142  0.2500  0.2500
Au  0.6587  0.6587  0.0239
Au  0.1587  0.1587  0.5239
Au  0.3413  0.3413  0.9761
Au  0.8413  0.8413  0.4761

Properties
**ΔE_f**: -0.5 eV/f.u.
**D(E_F)**: 5.39 states/eV per cell
**SG**: No. 167
**Energy**: -3.81 eV/atom